TaCdPt4: PBEsol geometry, SCAN.

Summary:
E_form ... -0.2415 eV per atom
Size of the total moment ... 0.00 μB per formula unit

a = 5.1977 Å, b = 5.1977 Å, c = 5.1977 Å
α = 60.00°, β = 60.00°, γ = 60.00°
Closest atoms and distances in Å follow each position.
Atoms (fractional coordinates):
Ta 0.0000 0.0000 0.0000  12 Pt 3.05, 4 Cd 3.18
Cd 0.7500 0.7500 0.7500  12 Pt 3.05, 4 Ta 3.18
Pt 0.3749 0.3749 0.3749  6 Pt 2.60
Pt 0.3749 0.3749 0.8754  6 Pt 2.60
Pt 0.3749 0.8754 0.3749  6 Pt 2.60
Pt 0.8754 0.3749 0.3749  6 Pt 2.60